1.
Cr2PIr: optimized geometry, GGA-PBEsol.

Summary:
- Formation energy: -244 meV per atom
- Fermi-level density of states: 0.997 states/eV per atom

CIF file:
```
data_Cr2PIr
_cell_length_a 3.622
_cell_length_b 2.695
_cell_length_c 10.016
_cell_angle_alpha 90.00
_cell_angle_beta 90.00
_cell_angle_gamma 90.00
_symmetry_space_group_name_H-M 'A m m 2'
_symmetry_Int_Tables_number 38
loop_
_symmetry_equiv_pos_as_xyz
'x,y,z'
'-x,-y,z'
'-x,y,z'
'x,-y,z'
'x,y+1/2,z+1/2'
'-x,-y+1/2,z+1/2'
'-x,y+1/2,z+1/2'
'x,-y+1/2,z+1/2'
loop_
_atom_site_label
_atom_site_type_symbol
_atom_site_fract_x
_atom_site_fract_y
_atom_site_fract_z
_atom_site_occupancy
Cr1 Cr 0.000 0.000 0.000 1
Cr2 Cr 0.500 0.000 0.358 1
P1 P 0.500 0.000 0.583 1
Ir1 Ir 0.000 0.000 0.737 1
```

=====

2.
CrPIr2: optimized geometry, GGA-PBEsol.

Summary:
- Formation energy: -117 meV per atom
- Fermi-level density of states: 1.012 states/eV per atom

CIF file:
```
data_CrPIr2
_cell_length_a 2.826
_cell_length_b 4.224
_cell_length_c 8.805
_cell_angle_alpha 90.00
_cell_angle_beta 90.00
_cell_angle_gamma 90.00
_symmetry_space_group_name_H-M 'I m m m'
_symmetry_Int_Tables_number 71
_symmetry_space_group_name_Hall '-I 2 2'
loop_
_atom_site_label
_atom_site_type_symbol
_atom_site_fract_x
_atom_site_fract_y
_atom_site_fract_z
_atom_site_occupancy
Cr1 Cr 0.000 0.000 0.000 1
P1 P 0.000 0.000 0.500 1
Ir1 Ir 0.000 0.500 0.213 1
```

=====

3.
CrPIr2: optimized geometry, GGA-PBEsol.

Summary:
- Formation energy: 4 meV per atom
- Fermi-level density of states: 0.799 states/eV per atom

CIF file:
```
data_CrPIr2
_cell_length_a 2.796
_cell_length_b 3.740
_cell_length_c 5.111
_cell_angle_alpha 90.00
_cell_angle_beta 90.00
_cell_angle_gamma 90.00
_symmetry_space_group_name_H-M 'P m m 2'
_symmetry_Int_Tables_number 25
loop_
_symmetry_equiv_pos_as_xyz
'x,y,z'
'-x,-y,z'
'-x,y,z'
'x,-y,z'
loop_
_atom_site_label
_atom_site_type_symbol
_atom_site_fract_x
_atom_site_fract_y
_atom_site_fract_z
_atom_site_occupancy
Cr1 Cr 0.000 0.000 0.000 1
P1 P 0.500 0.500 0.687 1
Ir1 Ir 0.000 0.000 0.517 1
Ir2 Ir 0.500 0.500 0.177 1
```

=====

4.
Cr2PIr: optimized geometry, GGA-PBEsol.

Summary:
- Formation energy: -232 meV per atom
- Fermi-level density of states: 0.796 states/eV per atom

CIF file:
```
data_Cr2PIr
_cell_length_a 2.791
_cell_length_b 4.132
_cell_length_c 8.186
_cell_angle_alpha 90.00
_cell_angle_beta 90.00
_cell_angle_gamma 90.00
_symmetry_space_group_name_H-M 'I m m m'
_symmetry_Int_Tables_number 71
_symmetry_space_group_name_Hall '-I 2 2'
loop_
_atom_site_label
_atom_site_type_symbol
_atom_site_fract_x
_atom_site_fract_y
_atom_site_fract_z
_atom_site_occupancy
Cr1 Cr 0.000 0.000 0.224 1
P1 P 0.000 0.500 0.500 1
Ir1 Ir 0.000 0.500 0.000 1
```

=====

5.
Cr2PIr: optimized geometry, GGA-PBEsol.

Summary:
- Formation energy: -113 meV per atom
- Fermi-level density of states: 0.828 states/eV per atom

CIF file:
```
data_Cr2PIr
_cell_length_a 3.642
_cell_length_b 3.642
_cell_length_c 7.374
_cell_angle_alpha 90.00
_cell_angle_beta 90.00
_cell_angle_gamma 90.00
_symmetry_space_group_name_H-M 'I -4 m 2'
_symmetry_Int_Tables_number 119
_symmetry_space_group_name_Hall 'I -4 -2'
loop_
_atom_site_label
_atom_site_type_symbol
_atom_site_fract_x
_atom_site_fract_y
_atom_site_fract_z
_atom_site_occupancy
Cr1 Cr 0.000 0.000 0.000 1
Cr2 Cr 0.000 0.500 0.250 1
P1 P 0.000 0.500 0.750 1
Ir1 Ir 0.000 0.000 0.500 1
```

=====

6.
ZrCrPIr2: optimized geometry, GGA-PBEsol.

Summary:
- Formation energy: 1537 meV per atom
- Fermi-level density of states: 1.441 states/eV per atom

CIF file:
```
data_ZrCrPIr2
_cell_length_a 4.777
_cell_length_b 4.777
_cell_length_c 4.822
_cell_angle_alpha 90.00
_cell_angle_beta 90.00
_cell_angle_gamma 90.00
_symmetry_space_group_name_H-M 'P 4/m m m'
_symmetry_Int_Tables_number 123
_symmetry_space_group_name_Hall '-P 4 2'
loop_
_atom_site_label
_atom_site_type_symbol
_atom_site_fract_x
_atom_site_fract_y
_atom_site_fract_z
_atom_site_occupancy
Zr1 Zr 0.000 0.000 0.000 1
Cr1 Cr 0.500 0.500 0.500 1
P1 P 0.000 0.000 0.500 1
Ir1 Ir 0.000 0.500 0.000 1
```